First-principles (PBE) data for an optimized crystal structure of CsTl2PI6, as listed in Alexandria via LeMat-Bulk.

Cell: 8.589 8.595 9.024 Å, 61.61 61.64 60.02°
Fractional positions:
Cs (0.813, 0.813, 0.560)
Tl (0.519, 0.519, 0.444)
Tl (0.003, 0.003, 0.993)
P (0.327, 0.327, 0.019)
I (0.520, 0.273, 0.220)
I (0.273, 0.988, 0.220)
I (0.988, 0.519, 0.219)
I (0.374, 0.690, 0.780)
I (0.690, 0.156, 0.780)
I (0.156, 0.374, 0.780)

Values from the calculation:
Symmetry: P1 (1)
Formation energy (no corrections) in eV per formula unit: -5.3
Volume in Å³/atom: 48.24



First-principles (PBE) data for an optimized crystal structure of PrPaNi, as listed in Alexandria via LeMat-Bulk.

Cell: 6.228 6.978 7.183 Å, 90.00 111.47 90.00°
Each line ends with the local moment (μB).
Fractional positions:
Ni (0.561, 0.432, 0.190)  0.00
Ni (0.439, 0.568, 0.810)  0.00
Ni (0.061, 0.068, 0.690)  0.00
Ni (0.939, 0.932, 0.310)  0.00
Pa (0.142, 0.379, 0.938)  0.18
Pa (0.858, 0.621, 0.062)  0.18
Pa (0.358, 0.879, 0.562)  0.18
Pa (0.642, 0.121, 0.438)  0.18
Pr (0.312, 0.852, 0.066)  0.02
Pr (0.812, 0.648, 0.566)  0.02
Pr (0.688, 0.148, 0.934)  0.02
Pr (0.188, 0.352, 0.434)  0.02

Values from the calculation:
Symmetry: P2_1/c (14)
ΔH_f (0 K) in eV/atom: 0.02
ΔE to the lowest computed polymorph in meV/atom: 102
Volume in Å³/atom: 24.21



First-principles (PBE) data for an optimized crystal structure of MnCdSb3, as listed in Alexandria via LeMat-Bulk.

Cell: 5.014 5.014 5.014 Å, 90.00 90.00 90.00°
Fractional positions:
Sb (0.000, 0.500, 0.000)
Sb (0.000, 0.000, 0.500)
Sb (0.500, 0.000, 0.000)
Mn (0.000, 0.000, 0.000)
Cd (0.500, 0.500, 0.500)

Values from the calculation:
Symmetry: Pm-3m (221)
Formation energy (no corrections) in eV per formula unit: 1.9
ΔE to the lowest computed polymorph in meV/atom: 0
Volume in Å³/atom: 25.22



First-principles (PBE) data for an optimized crystal structure of Eu2HfTiO6, as listed in Alexandria via LeMat-Bulk.

Cell: 5.702 5.702 5.702 Å, 60.00 60.00 60.00°
Each line ends with the local moment (μB).
Fractional positions:
Eu (0.250, 0.250, 0.250)  6.80
Eu (0.750, 0.750, 0.750)  6.80
Hf (0.000, 0.000, 0.000)  0.04
Ti (0.500, 0.500, 0.500)  0.16
O (0.255, 0.745, 0.255)  -0.02
O (0.745, 0.255, 0.745)  -0.02
O (0.745, 0.745, 0.255)  -0.02
O (0.255, 0.255, 0.745)  -0.02
O (0.255, 0.745, 0.745)  -0.02
O (0.745, 0.255, 0.255)  -0.02

Values from the calculation:
Symmetry: Fm-3m (225)
Formation energy (no corrections) in eV per formula unit: -32.0
Volume in Å³/atom: 13.11



First-principles (PBE) data for an optimized crystal structure of LiAl2As, as listed in Alexandria via LeMat-Bulk.

Cell: 5.067 5.067 2.962 Å, 90.00 90.00 115.76°
Fractional positions:
Al (0.000, 0.000, 0.000)
Al (0.500, 0.500, 0.000)
As (0.500, 0.000, 0.500)
Li (0.000, 0.500, 0.500)

Values from the calculation:
Symmetry: Cmmm (65)
ΔH_f (0 K) in eV/atom: -0.07
Volume in Å³/atom: 17.12



First-principles (PBE) data for an optimized crystal structure of YErHg6, as listed in Alexandria via LeMat-Bulk.

Cell: 4.695 4.695 8.825 Å, 90.00 90.00 90.00°
Fractional positions:
Y (0.000, 0.000, 0.500)
Er (0.000, 0.000, 0.000)
Hg (0.500, 0.500, 0.000)
Hg (0.500, 0.500, 0.500)
Hg (0.500, 0.000, 0.248)
Hg (0.500, 0.000, 0.752)
Hg (0.000, 0.500, 0.248)
Hg (0.000, 0.500, 0.752)

Values from the calculation:
Symmetry: P4/mmm (123)
ΔH_f (0 K) in eV/atom: -0.31
ΔE to the lowest computed polymorph in meV/atom: 26
Volume in Å³/atom: 24.31



First-principles (PBE) data for an optimized crystal structure of Al2O3, as listed in Alexandria via LeMat-Bulk.

Cell: 12.171 3.187 5.255 Å, 74.45 90.00 90.00°
Fractional positions:
Al (0.333, 0.581, 0.343)
Al (0.067, 0.819, 0.322)
Al (0.567, 0.181, 0.178)
Al (0.833, 0.419, 0.157)
Al (0.167, 0.581, 0.843)
Al (0.433, 0.819, 0.822)
Al (0.933, 0.181, 0.678)
Al (0.667, 0.419, 0.657)
O (0.373, 0.019, 0.495)
O (0.194, 0.598, 0.496)
O (0.493, 0.673, 0.190)
O (0.993, 0.327, 0.310)
O (0.873, 0.981, 0.005)
O (0.694, 0.402, 0.004)
O (0.306, 0.598, 0.996)
O (0.127, 0.019, 0.995)
O (0.007, 0.673, 0.690)
O (0.507, 0.327, 0.810)
O (0.806, 0.402, 0.504)
O (0.627, 0.981, 0.505)

Values from the calculation:
Symmetry: P2_1/c (14)
Formation energy (no corrections) in eV per formula unit: -14.7
Volume in Å³/atom: 9.82



First-principles (PBE) data for an optimized crystal structure of HfBe2Ni2, as listed in Alexandria via LeMat-Bulk.

Cell: 3.578 3.578 5.221 Å, 69.96 69.96 90.00°
Fractional positions:
Ni (0.750, 0.250, 0.500)
Ni (0.250, 0.750, 0.500)
Hf (0.000, 0.000, 0.000)
Be (0.383, 0.383, 0.233)
Be (0.617, 0.617, 0.767)

Values from the calculation:
Symmetry: I4/mmm (139)
ΔH_f (0 K) in eV/atom: -0.39
ΔE to the lowest computed polymorph in meV/atom: 0
Volume in Å³/atom: 11.69



First-principles (PBE) data for an optimized crystal structure of HgTe4Rh2, as listed in Alexandria via LeMat-Bulk.

Cell: 8.176 8.177 8.185 Å, 119.96 119.96 89.99°
Fractional positions:
Hg (0.250, 0.750, 0.500)
Hg (0.000, 0.000, 0.000)
Te (0.855, 0.567, 0.711)
Te (0.395, 0.183, 0.789)
Te (0.856, 0.145, 0.289)
Te (0.433, 0.145, 0.289)
Te (0.855, 0.144, 0.710)
Te (0.394, 0.605, 0.211)
Te (0.817, 0.605, 0.211)
Te (0.395, 0.606, 0.790)
Rh (0.625, 0.875, 0.250)
Rh (0.625, 0.375, 0.750)
Rh (0.125, 0.375, 0.750)
Rh (0.625, 0.375, 0.250)

Values from the calculation:
Symmetry: I4_1/amd (141)
Formation energy (no corrections) in eV per formula unit: -2.3
Volume in Å³/atom: 27.68



First-principles (PBE) data for an optimized crystal structure of TmMg2Ag3, as listed in Alexandria via LeMat-Bulk.

Cell: 3.399 3.399 10.464 Å, 90.00 90.00 90.00°
Fractional positions:
Tm (0.500, 0.500, 0.500)
Mg (0.500, 0.500, 0.842)
Mg (0.500, 0.500, 0.158)
Ag (0.000, 0.000, 0.000)
Ag (0.000, 0.000, 0.686)
Ag (0.000, 0.000, 0.314)

Values from the calculation:
Symmetry: P4/mmm (123)
ΔH_f (0 K) in eV/atom: -0.26
Volume in Å³/atom: 20.15



First-principles (PBE) data for an optimized crystal structure of NbAlSi2Sn, as listed in Alexandria via LeMat-Bulk.

Cell: 4.890 5.043 4.890 Å, 90.00 90.00 90.00°
Fractional positions:
Nb (0.000, 0.000, 0.000)
Si (0.000, 0.000, 0.500)
Si (0.500, 0.000, 0.000)
Sn (0.500, 0.500, 0.500)
Al (0.000, 0.500, 0.000)

Values from the calculation:
Symmetry: P4/mmm (123)
Formation energy (no corrections) in eV per formula unit: 3.0
Volume in Å³/atom: 24.11



First-principles (PBE) data for an optimized crystal structure of Cs2TmGeS4, as listed in Alexandria via LeMat-Bulk.

Cell: 6.496 8.025 13.250 Å, 84.31 75.81 66.13°
Fractional positions:
Cs (0.179, 0.000, 0.641)
Cs (0.821, 0.000, 0.359)
Cs (0.571, 0.500, 0.859)
Cs (0.929, 0.500, 0.141)
Tm (0.750, 0.500, 0.500)
Tm (0.000, 0.000, 0.000)
Ge (0.250, 0.500, 0.500)
Ge (0.500, 0.000, 0.000)
S (0.310, 0.813, 0.099)
S (0.222, 0.187, 0.901)
S (0.877, 0.813, 0.901)
S (0.591, 0.187, 0.099)
S (0.440, 0.687, 0.401)
S (0.528, 0.313, 0.599)
S (0.873, 0.687, 0.599)
S (0.159, 0.313, 0.401)

Values from the calculation:
Symmetry: Fddd (70)
Formation energy (no corrections) in eV per formula unit: -8.9
Volume in Å³/atom: 38.27



First-principles (PBE) data for an optimized crystal structure of NdNpTe6, as listed in Alexandria via LeMat-Bulk.

Cell: 4.390 4.390 13.579 Å, 90.00 99.30 90.00°
Each line ends with the local moment (μB).
Fractional positions:
Nd (0.828, 0.000, 0.656)  -0.01
Np (0.170, 0.500, 0.341)  3.77
Te (0.581, 0.500, 0.162)  -0.06
Te (0.423, 0.000, 0.845)  0.00
Te (0.291, 0.500, 0.582)  -0.04
Te (0.703, 0.000, 0.407)  -0.11
Te (0.923, 0.500, 0.845)  0.00
Te (0.081, 0.000, 0.162)  -0.06

Values from the calculation:
Symmetry: Amm2 (38)
Formation energy (no corrections) in eV per formula unit: -6.1
Volume in Å³/atom: 32.28



First-principles (PBE) data for an optimized crystal structure of Dy8Ga2Te, as listed in Alexandria via LeMat-Bulk.

Cell: 4.825 6.865 9.963 Å, 102.02 104.01 90.00°
Fractional positions:
Dy (0.402, 0.527, 0.805)
Dy (0.663, 0.988, 0.326)
Dy (0.785, 0.674, 0.569)
Dy (0.968, 0.241, 0.937)
Dy (0.215, 0.326, 0.431)
Dy (0.337, 0.012, 0.674)
Dy (0.598, 0.473, 0.195)
Dy (0.032, 0.759, 0.063)
Ga (0.814, 0.250, 0.628)
Ga (0.186, 0.750, 0.372)
Te (0.500, 0.000, 0.000)

Values from the calculation:
Symmetry: C2/m (12)
Formation energy (no corrections) in eV per formula unit: -4.3
Volume in Å³/atom: 28.43



First-principles (PBE) data for an optimized crystal structure of Pm2ZrF11, as listed in Alexandria via LeMat-Bulk.

Cell: 8.503 8.574 8.574 Å, 73.42 60.27 60.27°
Each line ends with the local moment (μB).
Fractional positions:
Pm (0.667, 0.692, 0.308)  0.00
Pm (0.333, 0.308, 0.692)  0.00
Pm (0.833, 0.192, 0.808)  0.00
Pm (0.167, 0.808, 0.192)  0.00
Zr (0.750, 0.750, 0.750)  0.00
Zr (0.250, 0.250, 0.250)  0.00
F (0.667, 0.711, 0.569)  0.01
F (0.333, 0.289, 0.431)  0.01
F (0.053, 0.569, 0.711)  0.01
F (0.833, 0.931, 0.789)  0.01
F (0.947, 0.431, 0.289)  0.01
F (0.167, 0.069, 0.211)  0.01
F (0.447, 0.789, 0.931)  0.01
F (0.553, 0.211, 0.069)  0.01
F (0.500, 0.500, 0.500)  0.46
F (0.000, 0.000, 0.000)  0.46
F (0.893, 0.816, 0.184)  0.24
F (0.107, 0.184, 0.816)  0.24
F (0.607, 0.316, 0.684)  0.24
F (0.393, 0.684, 0.316)  0.24
F (0.443, 0.984, 0.309)  0.01
F (0.557, 0.016, 0.691)  0.01
F (0.263, 0.309, 0.984)  0.01
F (0.057, 0.191, 0.516)  0.01
F (0.737, 0.691, 0.016)  0.01
F (0.943, 0.809, 0.484)  0.01
F (0.237, 0.516, 0.191)  0.01
F (0.763, 0.484, 0.809)  0.01

Values from the calculation:
Symmetry: Ibam (72)
Formation energy (no corrections) in eV per formula unit: -50.5
Volume in Å³/atom: 16.81



First-principles (PBE) data for an optimized crystal structure of Sm4RuRh2, as listed in Alexandria via LeMat-Bulk.

Cell: 7.570 7.570 7.568 Å, 109.48 109.67 109.26°
Fractional positions:
Sm (0.989, 0.238, 0.359)
Sm (0.371, 0.512, 0.251)
Sm (0.879, 0.631, 0.641)
Sm (0.748, 0.123, 0.750)
Sm (0.373, 0.997, 0.251)
Sm (0.261, 0.119, 0.748)
Sm (0.503, 0.752, 0.876)
Sm (0.877, 0.627, 0.125)
Ru (0.221, 0.720, 0.500)
Ru (0.031, 0.030, 0.000)
Rh (0.482, 0.375, 0.607)
Rh (0.767, 0.875, 0.392)
Rh (0.624, 0.278, 0.153)
Rh (0.125, 0.472, 0.847)

Values from the calculation:
Symmetry: C2 (5)
ΔH_f (0 K) in eV/atom: -0.49
ΔE to the lowest computed polymorph in meV/atom: 42
Volume in Å³/atom: 23.85



First-principles (PBE) data for an optimized crystal structure of Zn2HAu, as listed in Alexandria via LeMat-Bulk.

Cell: 4.389 4.389 5.321 Å, 65.64 65.64 60.00°
Fractional positions:
H (0.000, 0.000, 0.000)
Zn (0.120, 0.120, 0.640)
Zn (0.880, 0.880, 0.360)
Au (0.500, 0.500, 0.500)

Values from the calculation:
Symmetry: R-3m (166)
ΔE to the lowest computed polymorph in meV/atom: 0
Volume in Å³/atom: 19.51



First-principles (PBE) data for an optimized crystal structure of EuTmSnAu, as listed in Alexandria via LeMat-Bulk.

Cell: 5.290 5.290 5.290 Å, 60.00 60.00 60.00°
Each line ends with the local moment (μB).
Fractional positions:
Eu (0.500, 0.500, 0.500)  6.83
Tm (0.000, 0.000, 0.000)  0.07
Au (0.750, 0.750, 0.750)  0.01
Sn (0.250, 0.250, 0.250)  -0.03

Values from the calculation:
Symmetry: F-43m (216)
ΔH_f (0 K) in eV/atom: -0.72
Volume in Å³/atom: 26.16



First-principles (PBE) data for an optimized crystal structure of TiRuN, as listed in Alexandria via LeMat-Bulk.

Cell: 2.992 5.362 8.721 Å, 90.00 90.00 90.00°
Fractional positions:
Ru (0.750, 0.227, 0.001)
Ru (0.250, 0.773, 0.999)
Ru (0.750, 0.273, 0.501)
Ru (0.250, 0.727, 0.499)
Ti (0.250, 0.083, 0.751)
Ti (0.750, 0.917, 0.249)
Ti (0.250, 0.417, 0.251)
Ti (0.750, 0.583, 0.749)
N (0.750, 0.580, 0.129)
N (0.250, 0.420, 0.871)
N (0.750, 0.920, 0.629)
N (0.250, 0.080, 0.371)

Values from the calculation:
Symmetry: Pnma (62)
Formation energy (no corrections) in eV per formula unit: -1.8
ΔE to the lowest computed polymorph in meV/atom: 238
Volume in Å³/atom: 11.66



First-principles (PBE) data for an optimized crystal structure of Ti15Ag2Sn2, as listed in Alexandria via LeMat-Bulk.

Cell: 7.134 7.134 7.134 Å, 78.32 78.32 78.32°
Each line ends with the local moment (μB).
Fractional positions:
Ti (0.500, 0.000, 0.000)  -0.10
Ti (0.000, 0.000, 0.500)  -0.10
Ti (0.000, 0.500, 0.000)  -0.10
Ti (0.000, 0.304, 0.696)  0.65
Ti (0.304, 0.696, 0.000)  0.65
Ti (0.696, 0.000, 0.304)  0.65
Ti (0.696, 0.304, 0.000)  0.65
Ti (0.304, 0.000, 0.696)  0.65
Ti (0.000, 0.696, 0.304)  0.65
Ti (0.833, 0.378, 0.378)  -0.06
Ti (0.378, 0.378, 0.833)  -0.06
Ti (0.378, 0.833, 0.378)  -0.06
Ti (0.167, 0.622, 0.622)  -0.06
Ti (0.622, 0.622, 0.167)  -0.06
Ti (0.622, 0.167, 0.622)  -0.06
Ag (0.904, 0.904, 0.904)  0.01
Ag (0.096, 0.096, 0.096)  0.01
Sn (0.689, 0.689, 0.689)  -0.02
Sn (0.311, 0.311, 0.311)  -0.02

Values from the calculation:
Symmetry: R-3m (166)
ΔH_f (0 K) in eV/atom: 0.22
Volume in Å³/atom: 18.06